# La2Pm2Tl GGA-PBE relaxed
data_La2Pm2Tl
_cell_length_a 8.903
_cell_length_b 9.504
_cell_length_c 8.787
_cell_angle_alpha 90.00
_cell_angle_beta 115.58
_cell_angle_gamma 90.00
_space_group_name_H-M_alt 'C 1 2/m 1'
_space_group_IT_number 12
_space_group_name_Hall '-C 2y'
loop_
_atom_site_label
_atom_site_fract_x
_atom_site_fract_y
_atom_site_fract_z
La1 0.156 0.000 0.423
La2 0.218 0.500 0.107
Pm1 0.082 0.313 0.715
Tl1 0.000 0.172 0.000
# - Final energy: -0.3267 Ry/atom
# - DFT formation energy: -0.10 eV per atom
# - Distance to the lowest polymorph of the same formula: 44 meV per atom
# - D(E_F): 23.63 states/eV per cell